A plane-wave DFT calculation with PBE was carried out for NdGd3Zn12Ge6 after structural relaxation.

```
NdGd3Zn12Ge6
1.0
-1.197 -7.416 1.280
3.924 -0.747 -0.661
2.508 1.811 12.833
Zn Ge Nd Gd
12 6 1 3
direct
0.357 0.500 0.643 Zn
0.310 0.000 0.500 Zn
0.096 0.000 0.095 Zn
0.787 0.500 0.499 Zn
0.856 0.500 0.857 Zn
0.858 0.500 0.144 Zn
0.810 0.000 0.001 Zn
0.595 0.000 0.404 Zn
0.596 0.000 0.594 Zn
0.286 0.500 0.000 Zn
0.357 0.500 0.357 Zn
0.093 0.000 0.905 Zn
0.194 0.500 0.194 Ge
0.190 0.500 0.806 Ge
0.614 0.500 0.003 Ge
0.694 0.500 0.306 Ge
0.696 0.500 0.692 Ge
0.113 0.500 0.500 Ge
0.500 0.000 0.833 Nd
0.000 0.000 0.333 Gd
0.000 0.000 0.666 Gd
0.500 0.000 0.167 Gd
```

## Properties
Space group: Pm (6)
Electronic total energy, eV/atom: -3.2025
Mass density, g/cm³: 7.49
Crystal system: monoclinic
Total moment, μB per atom: 0.00